Density functional theory data (PBE-GGA) for an optimized crystal structure of Sr2BeVB.

Output
Spin magnetization ... 0.5 μB/f.u.
E_form ... 0.90 eV per atom
DOS at the Fermi energy ... 4.83 states/eV/f.u.
E ... -3.675 eV/atom

a = 5.7221 Å, b = 3.6738 Å, c = 5.7221 Å
α = 90.00°, β = 90.00°, γ = 90.00°
Fractional coordinates of all 5 atoms:
B 0.0000 0.0000 0.0000
Sr 0.0000 0.0000 0.5000
Sr 0.5000 0.0000 0.0000
Be 0.0000 0.5000 0.0000
V 0.5000 0.5000 0.5000

=====

Density functional theory data (PBE-GGA) for an optimized crystal structure of Na7Pb2Au.

Output
Spin magnetization ... 0.0 μB/f.u.
E_form ... -0.15 eV per atom
DOS at the Fermi energy ... 3.88 states/eV/f.u.
E ... -2.146 eV/atom

a = 8.8307 Å, b = 10.0338 Å, c = 8.6259 Å
α = 73.89°, β = 59.21°, γ = 63.89°
Fractional coordinates of all 20 atoms:
Na 0.2548 0.9227 0.9271
Na 0.5799 0.2500 0.7500
Na 0.1024 0.9422 0.6270
Na 0.1047 0.5773 0.5729
Na 0.0602 0.3146 0.9879
Na 0.8953 0.4227 0.4271
Na 0.3627 0.1854 0.5121
Na 0.9398 0.6854 0.0121
Na 0.8976 0.0578 0.3730
Na 0.4201 0.7500 0.2500
Na 0.6373 0.8146 0.4879
Na 0.6717 0.5578 0.8730
Na 0.3283 0.4422 0.1270
Na 0.7452 0.0773 0.0729
Pb 0.3969 0.5978 0.6804
Pb 0.3248 0.0978 0.1804
Pb 0.6031 0.4022 0.3196
Pb 0.6752 0.9022 0.8196
Au 0.0462 0.7500 0.2500
Au 0.9538 0.2500 0.7500

=====

Density functional theory data (PBE-GGA) for an optimized crystal structure of ReNiHg2.

Output
Spin magnetization ... 2.4 μB/f.u.
E_form ... 0.94 eV per atom
DOS at the Fermi energy ... 2.03 states/eV/f.u.
E ... -3.770 eV/atom
Energy above the lowest structure with this stoichiometry ... 0.5088 eV per atom

a = 4.6071 Å, b = 4.6071 Å, c = 4.6071 Å
α = 60.00°, β = 60.00°, γ = 60.00°
Fractional coordinates of all 4 atoms:
Hg 0.0000 0.0000 0.0000
Hg 0.2500 0.2500 0.2500
Re 0.7500 0.7500 0.7500
Ni 0.5000 0.5000 0.5000

=====

Density functional theory data (PBE-GGA) for an optimized crystal structure of CdAuN3.

Output
Energy relative to the elements, uncorrected ... 2.17 eV/atom
Spin magnetization ... 3.1 μB/f.u.
DOS at the Fermi energy ... 3.24 states/eV/f.u.
E ... -3.665 eV/atom

a = 4.1285 Å, b = 4.1285 Å, c = 4.1285 Å
α = 90.00°, β = 90.00°, γ = 90.00°
Fractional coordinates of all 5 atoms:
Cd 0.5000 0.5000 0.5000
N 0.0000 0.0000 0.5000
N 0.0000 0.5000 0.0000
N 0.5000 0.0000 0.0000
Au 0.0000 0.0000 0.0000

=====

Density functional theory data (PBE-GGA) for an optimized crystal structure of BaLi17Y.

Output
Spin magnetization ... 0.0 μB/f.u.
E_form ... 0.06 eV per atom
DOS at the Fermi energy ... 12.90 states/eV/f.u.
E ... -2.095 eV/atom

a = 7.6766 Å, b = 7.6766 Å, c = 7.6766 Å
α = 82.36°, β = 82.36°, γ = 82.36°
Fractional coordinates of all 19 atoms:
Li 0.0120 0.7010 0.2905
Li 0.0014 0.0014 0.5014
Li 0.9091 0.9091 0.9091
Li 0.3382 0.8719 0.3382
Li 0.5014 0.0014 0.0014
Li 0.6406 0.1626 0.6406
Li 0.0014 0.5014 0.0014
Li 0.7010 0.0120 0.2905
Li 0.2905 0.7010 0.0120
Li 0.6406 0.6406 0.1626
Li 0.0120 0.2905 0.7010
Li 0.7010 0.2905 0.0120
Li 0.1626 0.6406 0.6406
Li 0.3382 0.3382 0.8719
Li 0.1002 0.1002 0.1002
Li 0.8719 0.3382 0.3382
Li 0.2905 0.0120 0.7010
Ba 0.6506 0.6506 0.6506
Y 0.3369 0.3369 0.3369

=====

Density functional theory data (PBE-GGA) for an optimized crystal structure of NdZn2Ge.

Output
Spin magnetization ... 0.0 μB/f.u.
E_form ... -0.37 eV per atom
DOS at the Fermi energy ... 0.89 states/eV/f.u.
E ... -3.355 eV/atom
Energy above the lowest structure with this stoichiometry ... 0.0973 eV per atom

a = 4.5359 Å, b = 4.2586 Å, c = 4.2586 Å
α = 90.00°, β = 90.00°, γ = 90.00°
Fractional coordinates of all 4 atoms:
Ge 0.5000 0.5000 0.5000
Zn 0.0000 0.0000 0.5000
Zn 0.0000 0.5000 0.0000
Nd 0.5000 0.0000 0.0000

=====

Density functional theory data (PBE-GGA) for an optimized crystal structure of Ta2TlIn.

Output
Spin magnetization ... 0.0 μB/f.u.
E_form ... 0.49 eV per atom
DOS at the Fermi energy ... 2.34 states/eV/f.u.
E ... -6.714 eV/atom
Energy above the lowest structure with this stoichiometry ... 0.1645 eV per atom

a = 5.4366 Å, b = 5.4366 Å, c = 5.4366 Å
α = 134.46°, β = 134.46°, γ = 66.37°
Fractional coordinates of all 4 atoms:
Tl 0.5000 0.5000 0.0000
Ta 0.0000 0.0000 0.0000
Ta 0.2500 0.7500 0.5000
In 0.7500 0.2500 0.5000

=====

Density functional theory data (PBE-GGA) for an optimized crystal structure of Be2HOs.

Output
Spin magnetization ... 0.0 μB/f.u.
DOS at the Fermi energy ... 1.45 states/eV/f.u.
E ... -5.320 eV/atom
Energy above the lowest structure with this stoichiometry ... 0.0000 eV per atom

a = 4.5028 Å, b = 4.5028 Å, c = 4.4985 Å
α = 59.97°, β = 59.97°, γ = 90.00°
Fractional coordinates of all 8 atoms:
Be 0.3742 0.1250 0.2500
Be 0.8750 0.6242 0.7500
Be 0.3750 0.6258 0.7500
Be 0.3758 0.6250 0.2500
H 0.2500 0.7500 0.5000
H 0.5000 0.5000 0.0000
Os 0.0000 0.0000 0.0000
Os 0.7500 0.2500 0.5000